Material: BaPa2CrN5
Method: DFT, PBE
State: optimized geometry

a = 6.719 Å, b = 6.719 Å, c = 11.471 Å
α = 90.00°, β = 90.00°, γ = 90.00°
Space group I4/mcm (No. 140)
Symmetry-distinct sites (fractional):
Ba 0.000 0.000 0.250 (multiplicity 4)
Pa 0.183 0.317 0.000 (multiplicity 8)
Cr 0.000 0.500 0.250 (multiplicity 4)
N 0.000 0.000 0.000 (multiplicity 4)
N 0.137 0.363 0.370 (multiplicity 16)

Values from the calculation:
For the total energy, the calculation gives -82.88 eV/f.u. For the total magnetization, the calculation gives 2.572 μB per formula unit.